[1]
Material: KTi2HgSe
Method: DFT, PBE
State: relaxed

Lattice parameters (Å, degrees): 5.242 5.242 5.829 90.00 90.00 90.00
Fractional positions:
K: 0.000 0.000 0.000
Ti: 0.000 0.500 0.500
Ti: 0.500 0.000 0.500
Hg: 0.500 0.500 0.500
Se: 0.500 0.500 0.000

Values from the calculation:
Formation energy without anion corrections, eV/atom: 0.7810
Total magnetic moment, μB per formula unit: 4.30
DOS at the Fermi energy, states/eV per cell: 6.40
SG: P4/mmm (123)

[2]
Material: K2TiHgSe4
Method: DFT, PBE
State: relaxed

Lattice parameters (Å, degrees): 14.033 12.541 7.632 84.43 62.80 32.77
Fractional positions:
K: 0.058 0.058 0.692
K: 0.308 0.308 0.942
K: 0.692 0.692 0.058
K: 0.942 0.942 0.308
Ti: 0.375 0.375 0.375
Ti: 0.625 0.625 0.625
Hg: 0.125 0.125 0.125
Hg: 0.875 0.875 0.875
Se: 0.005 0.362 0.453
Se: 0.320 0.547 0.638
Se: 0.362 0.005 0.680
Se: 0.453 0.680 0.005
Se: 0.547 0.320 0.995
Se: 0.638 0.995 0.320
Se: 0.680 0.453 0.362
Se: 0.995 0.638 0.547

Values from the calculation:
Formation energy without anion corrections, eV/atom: -0.9637
Total magnetic moment, μB per formula unit: 0.00
DOS at the Fermi energy, states/eV per cell: 0.00
SG: Fddd (70)

[3]
Material: K2TlHgSe4
Method: DFT, PBE
State: relaxed

Lattice parameters (Å, degrees): 8.516 8.516 8.843 118.38 118.38 88.14
Fractional positions:
K: 0.000 0.000 0.000
K: 0.000 0.000 0.500
K: 0.000 0.500 0.000
K: 0.500 0.000 0.500
Tl: 0.500 0.500 0.000
Tl: 0.500 0.500 0.500
Hg: 0.000 0.500 0.500
Hg: 0.500 0.000 0.000
Se: 0.243 0.703 0.487
Se: 0.250 0.298 0.529
Se: 0.297 0.757 0.013
Se: 0.298 0.250 0.029
Se: 0.702 0.750 0.971
Se: 0.703 0.243 0.987
Se: 0.750 0.702 0.471
Se: 0.757 0.297 0.513

Values from the calculation:
Formation energy without anion corrections, eV/atom: -0.4533
Total magnetic moment, μB per formula unit: 0.01
DOS at the Fermi energy, states/eV per cell: 10.84
SG: C2/c (15)

[4]
Material: KTlHgSe2
Method: DFT, PBE
State: relaxed

Lattice parameters (Å, degrees): 7.245 7.155 8.513 90.00 90.05 90.00
Fractional positions:
K: 0.000 0.003 0.250
K: 0.000 0.997 0.750
Tl: 0.500 0.500 0.250
Tl: 0.500 0.500 0.750
Hg: 0.500 0.000 0.000
Hg: 0.500 0.000 0.500
Se: 0.258 0.243 0.998
Se: 0.258 0.757 0.498
Se: 0.742 0.243 0.502
Se: 0.742 0.757 0.002

Values from the calculation:
Formation energy without anion corrections, eV/atom: -0.5652
Total magnetic moment, μB per formula unit: 0.00
DOS at the Fermi energy, states/eV per cell: 0.00
SG: P2/c (13)

[5]
Material: KTlHgSe
Method: DFT, PBE
State: relaxed

Lattice parameters (Å, degrees): 5.580 5.580 5.580 60.00 60.00 60.00
Fractional positions:
K: 0.000 0.000 0.000
Tl: 0.500 0.500 0.500
Hg: 0.250 0.250 0.250
Se: 0.750 0.750 0.750

Values from the calculation:
Formation energy without anion corrections, eV/atom: -0.5124
Total magnetic moment, μB per formula unit: 0.00
SG: F-43m (216)

[6]
Material: KTlHgSe
Method: DFT, PBE
State: relaxed

Lattice parameters (Å, degrees): 4.508 4.508 9.872 103.32 103.32 60.00
Fractional positions:
K: 0.000 0.000 0.000
Tl: 0.451 0.451 0.349
Hg: 0.565 0.565 0.696
Se: 0.730 0.730 0.187

Values from the calculation:
Formation energy without anion corrections, eV/atom: -0.4998
Total magnetic moment, μB per formula unit: 0.00
SG: Cm (8)

[7]
Material: KTmHgSe3
Method: DFT, PBE
State: relaxed

Lattice parameters (Å, degrees): 8.810 4.222 10.202 90.00 107.49 90.00
Fractional positions:
K: 0.216 0.250 0.242
K: 0.784 0.750 0.758
Tm: 0.330 0.750 0.863
Tm: 0.670 0.250 0.137
Hg: 0.090 0.250 0.612
Hg: 0.910 0.750 0.388
Se: 0.107 0.250 0.872
Se: 0.249 0.750 0.548
Se: 0.458 0.750 0.149
Se: 0.542 0.250 0.851
Se: 0.751 0.250 0.452
Se: 0.893 0.750 0.128

Values from the calculation:
Formation energy without anion corrections, eV/atom: -1.1805
Total magnetic moment, μB per formula unit: 0.00
SG: P2_1/m (11)

[8]
Material: K2UHgSe5
Method: DFT, PBE
State: relaxed

Lattice parameters (Å, degrees): 10.114 10.114 13.978 90.00 90.00 156.11
Fractional positions:
K: 0.113 0.887 0.500
K: 0.126 0.874 0.134
K: 0.874 0.126 0.634
K: 0.887 0.113 0.000
U: 0.210 0.790 0.834
U: 0.790 0.210 0.334
Hg: 0.447 0.553 0.248
Hg: 0.553 0.447 0.748
Se: 0.073 0.927 0.869
Se: 0.286 0.714 0.463
Se: 0.296 0.704 0.203
Se: 0.341 0.659 0.822
Se: 0.498 0.502 0.586
Se: 0.502 0.498 0.086
Se: 0.659 0.341 0.322
Se: 0.704 0.296 0.703
Se: 0.714 0.286 0.963
Se: 0.927 0.073 0.369

Values from the calculation:
Formation energy without anion corrections, eV/atom: -0.8881
Total magnetic moment, μB per formula unit: 0.53
DOS at the Fermi energy, states/eV per cell: 8.20
SG: Cmc2_1 (36)

[9]
Material: KUHg2Se6
Method: DFT, PBE
State: relaxed

Lattice parameters (Å, degrees): 6.145 7.548 8.476 96.82 108.91 113.31
Fractional positions:
K: 0.000 0.000 0.000
U: 0.060 0.526 0.544
Hg: 0.187 0.126 0.624
Hg: 0.435 0.841 0.343
Se: 0.159 0.411 0.833
Se: 0.360 0.908 0.779
Se: 0.521 0.324 0.425
Se: 0.596 0.642 0.592
Se: 0.832 0.111 0.322
Se: 0.948 0.629 0.237

Values from the calculation:
Formation energy without anion corrections, eV/atom: -0.5708
Total magnetic moment, μB per formula unit: 1.00
DOS at the Fermi energy, states/eV per cell: 2.83
SG: P1 (1)

[10]
Material: K3U3HgSe8
Method: DFT, PBE
State: relaxed

Lattice parameters (Å, degrees): 9.126 9.126 9.126 54.84 54.84 54.84
Fractional positions:
K: 0.000 0.500 0.500
K: 0.500 0.000 0.500
K: 0.500 0.500 0.000
U: 0.000 0.000 0.500
U: 0.000 0.500 0.000
U: 0.500 0.000 0.000
Hg: 0.500 0.500 0.500
Se: 0.217 0.744 0.744
Se: 0.236 0.236 0.236
Se: 0.256 0.256 0.783
Se: 0.256 0.783 0.256
Se: 0.744 0.217 0.744
Se: 0.744 0.744 0.217
Se: 0.764 0.764 0.764
Se: 0.783 0.256 0.256

Values from the calculation:
Formation energy without anion corrections, eV/atom: -1.0796
Total magnetic moment, μB per formula unit: 6.84
DOS at the Fermi energy, states/eV per cell: 15.12
SG: R-3m (166)

[11]
Material: K2U3HgSe8
Method: DFT, PBE
State: relaxed

Lattice parameters (Å, degrees): 9.513 9.513 9.513 52.45 52.45 52.45
Fractional positions:
K: 0.000 0.000 0.000
K: 0.364 0.364 0.364
U: 0.365 0.365 0.862
U: 0.365 0.862 0.365
U: 0.862 0.365 0.365
Hg: 0.727 0.727 0.727
Se: 0.106 0.106 0.562
Se: 0.106 0.562 0.106
Se: 0.135 0.135 0.135
Se: 0.164 0.624 0.624
Se: 0.562 0.106 0.106
Se: 0.591 0.591 0.591
Se: 0.624 0.164 0.624
Se: 0.624 0.624 0.164

Values from the calculation:
Formation energy without anion corrections, eV/atom: -1.0406
Total magnetic moment, μB per formula unit: 3.99
DOS at the Fermi energy, states/eV per cell: 16.79
SG: R3m (160)

[12]
Material: KVHg2Se4
Method: DFT, PBE
State: relaxed

Lattice parameters (Å, degrees): 6.816 6.787 7.531 56.57 56.20 67.23
Fractional positions:
K: 0.000 0.000 0.000
V: 0.499 0.499 0.501
Hg: 0.184 0.184 0.316
Hg: 0.684 0.684 0.816
Se: 0.177 0.532 0.468
Se: 0.469 0.842 0.531
Se: 0.532 0.177 0.823
Se: 0.842 0.469 0.158

Values from the calculation:
Formation energy without anion corrections, eV/atom: -0.5048
Total magnetic moment, μB per formula unit: 0.00
DOS at the Fermi energy, states/eV per cell: 1.19
SG: Fmm2 (42)

[13]
Material: KZnHg2Se
Method: DFT, PBE
State: relaxed

Lattice parameters (Å, degrees): 5.341 5.341 5.240 90.00 90.00 90.00
Fractional positions:
K: 0.000 0.000 0.000
Zn: 0.500 0.500 0.500
Hg: 0.000 0.500 0.500
Hg: 0.500 0.000 0.500
Se: 0.500 0.500 0.000

Values from the calculation:
Formation energy without anion corrections, eV/atom: -0.2966
Total magnetic moment, μB per formula unit: 0.00
DOS at the Fermi energy, states/eV per cell: 1.10
SG: P4/mmm (123)

[14]
Material: K2ZrHgSe4
Method: DFT, PBE
State: relaxed

Lattice parameters (Å, degrees): 7.619 4.041 8.007 90.00 110.81 90.00
Fractional positions:
K: 0.000 0.000 0.000
K: 0.500 0.500 0.000
Zr: 0.000 0.500 0.500
Hg: 0.500 0.000 0.500
Se: 0.201 0.000 0.713
Se: 0.252 0.500 0.321
Se: 0.748 0.500 0.679
Se: 0.799 0.000 0.287

Values from the calculation:
Formation energy without anion corrections, eV/atom: -1.0077
Total magnetic moment, μB per formula unit: 0.00
SG: P2/m (10)

[15]
Material: KSiHg2
Method: DFT, PBE
State: relaxed

Lattice parameters (Å, degrees): 5.867 5.867 5.867 138.17 119.77 76.02
Fractional positions:
K: 0.000 0.000 0.000
Si: 0.500 0.500 0.000
Hg: 0.305 0.805 0.500
Hg: 0.695 0.195 0.500

Values from the calculation:
Formation energy without anion corrections, eV/atom: 0.1878
Total magnetic moment, μB per formula unit: 0.00
DOS at the Fermi energy, states/eV per cell: 2.20
SG: Immm (71)

[16]
Material: KSiHg2
Method: DFT, PBE
State: relaxed

Lattice parameters (Å, degrees): 6.249 6.249 3.147 102.95 102.95 112.86
Fractional positions:
K: 0.000 0.000 0.000
Si: 0.500 0.500 0.000
Hg: 0.000 0.500 0.500
Hg: 0.500 0.000 0.500

Values from the calculation:
Formation energy without anion corrections, eV/atom: 0.3021
Total magnetic moment, μB per formula unit: 0.00
DOS at the Fermi energy, states/eV per cell: 2.15
SG: C2/m (12)

[17]
Material: K3SiHg
Method: DFT, PBE
State: relaxed

Lattice parameters (Å, degrees): 6.493 6.493 6.493 90.00 90.00 90.00
Fractional positions:
K: 0.000 0.000 0.500
K: 0.000 0.500 0.000
K: 0.500 0.000 0.000
Si: 0.000 0.000 0.000
Hg: 0.500 0.500 0.500

Values from the calculation:
Formation energy without anion corrections, eV/atom: 0.2299
Total magnetic moment, μB per formula unit: 1.00
DOS at the Fermi energy, states/eV per cell: 1.73
SG: Pm-3m (221)

[18]
Material: KSiHg2
Method: DFT, PBE
State: relaxed

Lattice parameters (Å, degrees): 3.425 4.001 8.066 90.00 90.00 90.00
Fractional positions:
K: 0.000 0.000 0.000
Si: 0.500 0.500 0.323
Hg: 0.000 0.000 0.427
Hg: 0.500 0.500 0.703

Values from the calculation:
Formation energy without anion corrections, eV/atom: 0.1514
Total magnetic moment, μB per formula unit: 0.00
DOS at the Fermi energy, states/eV per cell: 1.26
SG: Pmm2 (25)

[19]
Material: KSiHg2
Method: DFT, PBE
State: relaxed

Lattice parameters (Å, degrees): 3.232 4.537 7.714 90.00 101.87 90.00
Fractional positions:
K: 0.000 0.000 0.000
Si: 0.645 0.500 0.293
Hg: 0.356 0.500 0.704
Hg: 0.727 0.000 0.454

Values from the calculation:
Formation energy without anion corrections, eV/atom: 0.1451
Total magnetic moment, μB per formula unit: 0.00
DOS at the Fermi energy, states/eV per cell: 1.13
SG: Pm (6)

[20]
Material: K2Si2Hg
Method: DFT, PBE
State: relaxed

Lattice parameters (Å, degrees): 6.609 6.609 6.609 123.20 123.20 84.55
Fractional positions:
K: 0.250 0.750 0.500
K: 0.750 0.250 0.500
Si: 0.109 0.109 0.000
Si: 0.891 0.891 0.000
Hg: 0.500 0.500 0.000

Values from the calculation:
Formation energy without anion corrections, eV/atom: 0.1933
Total magnetic moment, μB per formula unit: 0.00
DOS at the Fermi energy, states/eV per cell: 0.00
SG: I4/mmm (139)

[21]
Material: K2Si2Hg
Method: DFT, PBE
State: relaxed

Lattice parameters (Å, degrees): 9.514 9.514 3.604 90.00 90.00 90.00
Fractional positions:
K: 0.206 0.294 0.000
K: 0.294 0.794 0.000
K: 0.706 0.206 0.000
K: 0.794 0.706 0.000
Si: 0.082 0.582 0.500
Si: 0.418 0.082 0.500
Si: 0.582 0.918 0.500
Si: 0.918 0.418 0.500
Hg: 0.000 0.000 0.500
Hg: 0.500 0.500 0.500

Values from the calculation:
Formation energy without anion corrections, eV/atom: 0.2027
Total magnetic moment, μB per formula unit: 0.00
DOS at the Fermi energy, states/eV per cell: 3.73
SG: P4/mbm (127)

[22]
Material: K2Si2Hg
Method: DFT, PBE
State: relaxed

Lattice parameters (Å, degrees): 9.741 9.741 3.510 90.00 90.00 90.00
Fractional positions:
K: 0.206 0.294 0.000
K: 0.294 0.794 0.000
K: 0.706 0.206 0.000
K: 0.794 0.706 0.000
Si: 0.081 0.581 0.500
Si: 0.419 0.081 0.500
Si: 0.581 0.919 0.500
Si: 0.919 0.419 0.500
Hg: 0.000 0.000 0.000
Hg: 0.500 0.500 0.000

Values from the calculation:
Formation energy without anion corrections, eV/atom: 0.2364
Total magnetic moment, μB per formula unit: 0.00
DOS at the Fermi energy, states/eV per cell: 4.70
SG: P4/mbm (127)

[23]
Material: KSiHg2
Method: DFT, PBE
State: relaxed

Lattice parameters (Å, degrees): 4.625 4.625 6.885 109.78 109.78 60.16
Fractional positions:
K: 0.000 0.000 0.000
Si: 0.500 0.500 0.500
Hg: 0.216 0.216 0.646
Hg: 0.784 0.784 0.354

Values from the calculation:
Formation energy without anion corrections, eV/atom: 0.0825
Total magnetic moment, μB per formula unit: 0.00
DOS at the Fermi energy, states/eV per cell: 2.86
SG: C2/m (12)

[24]
Material: KSiHg2
Method: DFT, PBE
State: relaxed

Lattice parameters (Å, degrees): 7.149 7.149 7.149 37.03 37.03 37.03
Fractional positions:
K: 0.000 0.000 0.000
Si: 0.813 0.813 0.813
Hg: 0.220 0.220 0.220
Hg: 0.450 0.450 0.450

Values from the calculation:
Formation energy without anion corrections, eV/atom: 0.0654
Total magnetic moment, μB per formula unit: 0.00
DOS at the Fermi energy, states/eV per cell: 1.68
SG: R3m (160)